No. 1
This record from Alexandria via LeMat-Bulk describes crystalline Ac4Pb2I at its relaxed geometry. The functional is GGA-PBE.

Summary:
E_form (uncorrected)	-475	meV/atom
total magnetization	0.00	μB per formula unit
D(E_F)	9.63	states/eV/cell
DFT total energy	-4.103	eV/atom

a = 7.7665 Å, b = 7.4952 Å, c = 10.5134 Å
α = 90.00°, β = 109.31°, γ = 90.00°
Space group P2_1/m (No. 11)
Asymmetric unit:
1 Ac 0.0305 0.0029 0.2516 [4 per cell]
2 Ac 0.4491 0.2500 0.5541 [2 per cell]
3 Ac 0.4524 0.2500 0.1584 [2 per cell]
4 Pb 0.1777 0.7500 0.5494 [2 per cell]
5 Pb 0.1851 0.7500 0.0383 [2 per cell]
6 I 0.3433 0.2500 0.8307 [2 per cell]

***

No. 2
This record from Alexandria via LeMat-Bulk describes crystalline Na2Li3TcO6 at its relaxed geometry. The functional is GGA-PBE.

Summary:
E_form (uncorrected)	-1662	meV/atom
total magnetization	0.00	μB per formula unit
DFT total energy	-5.703	eV/atom

a = 5.4719 Å, b = 9.8388 Å, c = 5.1152 Å
α = 90.00°, β = 109.83°, γ = 90.00°
Space group C2/m (No. 12)
Asymmetric unit:
1 Na 0.0000 0.1711 0.0000 [4 per cell]
2 Li 0.0000 0.0000 0.5000 [2 per cell]
3 Li 0.0000 0.3611 0.5000 [4 per cell]
4 Tc 0.0000 0.5000 0.0000 [2 per cell]
5 O 0.2119 0.3638 0.2393 [8 per cell]
6 O 0.2158 0.5000 0.7732 [4 per cell]

***

No. 3
This record from Alexandria via LeMat-Bulk describes crystalline PaInPtN at its relaxed geometry. The functional is GGA-PBE.

Summary:
E_form (uncorrected)	-985	meV/atom
total magnetization	0.00	μB per formula unit
D(E_F)	5.54	states/eV/cell
DFT total energy	-7.636	eV/atom

a = 4.1359 Å, b = 4.1359 Å, c = 8.6575 Å
α = 90.00°, β = 90.00°, γ = 90.00°
Space group P4/nmm (No. 129, origin choice 2)
Asymmetric unit:
1 Pa 0.2500 0.2500 0.1215 [2 per cell]
2 In 0.2500 0.7500 0.5000 [2 per cell]
3 Pt 0.2500 0.2500 0.7112 [2 per cell]
4 N 0.2500 0.7500 0.0000 [2 per cell]